{"formula": "YTcGe2", "functional": "GGA-PBE", "state": "optimized geometry", "final_energy_ev_per_atom": -6.416, "crystal_system": "cubic", "spacegroup": "No. 216", "magmom_total_mub_per_cell": 0.01, "lattice_angstrom": [[0.000, 3.348, 3.348], [3.348, 0.000, 3.348], [3.348, 3.348, 0.000]], "species": ["Tc", "Ge", "Ge", "Y"], "frac_coords": [[0.750, 0.750, 0.750], [0.000, 0.000, 0.000], [0.250, 0.250, 0.250], [0.500, 0.500, 0.500]]}